Here is a relaxed CsAgH3 crystal from the Open Quantum Materials Database. Energies are from PBE.

SG = No. 139

```
10
Lattice="-3.1167 3.1167 4.5142 3.1167 -3.1167 4.5142 3.1167 3.1167 -4.5142" Properties=species:S:1:pos:R:3 pbc="T T T"
Cs 3.1167 0.0000 2.2571
Cs 0.0000 3.1167 2.2571
Ag 0.0000 0.0000 0.0000
Ag 0.0000 0.0000 4.5142
H 0.0000 0.0000 1.7190
H 1.9275 1.9275 0.0000
H 1.1892 -1.1892 4.5142
H -1.1892 1.1892 4.5142
H 1.1892 1.1892 4.5142
H 0.0000 0.0000 7.3093
```

Here is a relaxed Cs2AgH4 crystal from the Open Quantum Materials Database. Energies are from PBE.

SG = No. 136

```
14
Lattice="6.0934 0.0000 0.0000 0.0000 6.0934 0.0000 0.0000 0.0000 8.8965" Properties=species:S:1:pos:R:3 pbc="T T T"
Cs 0.0000 3.0467 2.2241
Cs 0.0000 3.0467 6.6724
Cs 3.0467 0.0000 2.2241
Cs 3.0467 0.0000 6.6724
Ag 0.0000 0.0000 0.0000
Ag 3.0467 3.0467 4.4483
H 0.0000 0.0000 1.7724
H 0.0000 0.0000 7.1241
H 1.2613 1.2613 0.0000
H 1.7854 4.3081 4.4483
H 3.0467 3.0467 2.6759
H 3.0467 3.0467 6.2206
H 4.3081 1.7854 4.4483
H 4.8321 4.8321 0.0000
```

Here is a relaxed CsHfAg crystal from the Open Quantum Materials Database. Energies are from PBE.

SG = No. 216
Energy relative to the lowest polymorph listed for this composition = 477 meV/atom

```
3
Lattice="0.0000 3.7186 3.7186 3.7186 0.0000 3.7186 3.7186 3.7186 0.0000" Properties=species:S:1:pos:R:3 pbc="T T T"
Cs 0.0000 0.0000 0.0000
Hf 1.8593 1.8593 1.8593
Ag 5.5779 5.5779 5.5779
```

| no. | total energy (eV per formula unit) | mass density (kg/m3) |
| --- | --- | --- |
| 1 | -13.699 | 4616 |
| 2 | -17.812 | 3797 |
| 3 | -7.960 | 6770 |